No. 1
Compound: Na6Mn7O10
Source: the Alexandria database
Functional: PBE with a Hubbard U
Structure: relaxed

SG   Cm (8)
Final energy   -5.9800 eV/atom

Structure (POSCAR):
```
Na6Mn7O10
1.0
11.1200 -1.7373 0.0000
11.1200 1.7373 0.0000
-2.6524 0.0000 8.3046
Na Mn O
6 7 10
direct
0.0000 0.0000 0.0000 Na
0.0033 0.0033 0.3396 Na
0.1043 0.1043 0.9204 Na
0.2802 0.2802 0.5180 Na
0.6992 0.6992 0.7657 Na
0.8715 0.8715 0.4202 Na
0.1437 0.1437 0.4647 Mn
0.2472 0.2472 0.0811 Mn
0.3909 0.3909 0.1948 Mn
0.4284 0.4284 0.6927 Mn
0.5454 0.5454 0.6340 Mn
0.6554 0.6554 0.2171 Mn
0.8374 0.8374 0.8801 Mn
0.1001 0.1001 0.2166 O
0.0998 0.0998 0.6372 O
0.2827 0.2827 0.8767 O
0.3157 0.3157 0.2819 O
0.4574 0.4574 0.4545 O
0.5188 0.5188 0.8406 O
0.6881 0.6881 0.0262 O
0.6977 0.6977 0.4688 O
0.8735 0.8735 0.6833 O
0.9151 0.9151 0.0990 O
```

=====

No. 2
Compound: Na3MnO4
Source: the Alexandria database
Functional: PBE with a Hubbard U
Structure: relaxed

SG   Pmn2_1 (31)
Final energy   -5.3542 eV/atom

Structure (POSCAR):
```
Na3MnO4
1.0
7.0971 0.0000 0.0000
0.0000 6.1327 0.0000
0.0000 0.0000 5.6075
Na Mn O
6 2 8
direct
0.0000 0.1485 0.0000 Na
0.2446 0.3232 0.4975 Na
0.2554 0.6768 0.9975 Na
0.5000 0.8515 0.5000 Na
0.7446 0.6768 0.9975 Na
0.7554 0.3232 0.4975 Na
0.0000 0.8206 0.4895 Mn
0.5000 0.1794 0.9895 Mn
0.0000 0.0881 0.5847 O
0.0000 0.8157 0.1831 O
0.2010 0.6886 0.5872 O
0.2990 0.3114 0.0872 O
0.5000 0.1843 0.6831 O
0.5000 0.9119 0.0847 O
0.7010 0.3114 0.0872 O
0.7990 0.6886 0.5872 O
```

=====

No. 3
Compound: NaMn2O4
Source: the Alexandria database
Functional: PBE with a Hubbard U
Structure: relaxed

SG   P-42m (111)
Offset from the most stable computed form   0.293 eV per atom

Structure (POSCAR):
```
NaMn2O4
1.0
4.7319 0.0000 0.0000
0.0000 4.7319 0.0000
0.0000 0.0000 5.0230
Na Mn O
1 2 4
direct
0.0000 0.0000 0.0000 Na
0.0000 0.5000 0.5000 Mn
0.5000 0.0000 0.5000 Mn
0.2444 0.2444 0.3380 O
0.2444 0.7556 0.6620 O
0.7556 0.2444 0.6620 O
0.7556 0.7556 0.3380 O
```

=====

No. 4
Compound: Na5Mn7O16
Source: the Alexandria database
Functional: PBE with a Hubbard U
Structure: relaxed

SG   C2/m (12)
Offset from the most stable computed form   0.052 eV per atom

Structure (POSCAR):
```
Na5Mn7O16
1.0
5.3247 -2.9772 0.0000
5.3247 2.9772 0.0000
-1.4497 0.0000 10.6056
Na Mn O
5 7 16
direct
0.0000 0.0000 0.0000 Na
0.3021 0.3021 0.0438 Na
0.3228 0.3228 0.4287 Na
0.6772 0.6772 0.5713 Na
0.6979 0.6979 0.9562 Na
0.0000 0.0000 0.5000 Mn
0.1986 0.6886 0.7317 Mn
0.2004 0.2004 0.7342 Mn
0.3114 0.8014 0.2683 Mn
0.6886 0.1986 0.7317 Mn
0.7996 0.7996 0.2658 Mn
0.8014 0.3114 0.2683 Mn
0.0388 0.0388 0.8193 O
0.0675 0.5372 0.8266 O
0.1231 0.1231 0.3810 O
0.1287 0.7075 0.3769 O
0.2925 0.8713 0.6231 O
0.3551 0.3551 0.6365 O
0.4628 0.9325 0.1734 O
0.4751 0.4751 0.1798 O
0.5249 0.5249 0.8202 O
0.5372 0.0675 0.8266 O
0.6449 0.6449 0.3635 O
0.7075 0.1287 0.3769 O
0.8713 0.2925 0.6231 O
0.8769 0.8769 0.6190 O
0.9325 0.4628 0.1734 O
0.9612 0.9612 0.1807 O
```